YThNi3 | PBE | relaxed

a b c (Å): 12.740 12.740 4.063
angles (deg): 90.00 90.00 163.10
Element x y z (fractional)
Y: 0.068 0.932 0.750
Y: 0.932 0.068 0.250
Th: 0.196 0.804 0.250
Th: 0.804 0.196 0.750
Ni: 0.321 0.679 0.250
Ni: 0.384 0.616 0.750
Ni: 0.477 0.523 0.750
Ni: 0.523 0.477 0.250
Ni: 0.616 0.384 0.250
Ni: 0.679 0.321 0.750

Values from the calculation:
Space-group type: Cmcm
Spin magnetization in μB/atom: 0.00
Formation energy in kJ/mol of atoms: -41
Crystal system: orthorhombic